GdTlNi | PBE | relaxed

a b c (Å): 3.391 3.391 6.144
angles (deg): 106.02 106.02 90.00
Fractional positions:
Ni1 0.282 0.282 0.564
Tl1 0.641 0.641 0.281
Gd1 0.927 0.927 0.855

symmetry: I4mm (107)
electronic total energy: -7.562 eV/atom
calculated formation energy: -44 kJ/mol of formula units

---

TbNd2DyEr5 | PBE | relaxed

a b c (Å): 8.599 8.599 9.882
angles (deg): 115.79 115.79 90.00
Fractional positions:
Er1 0.572 0.648 0.720
Er2 0.352 0.852 0.280
Er3 0.852 0.928 0.280
Er4 0.148 0.072 0.720
Er5 0.500 0.500 0.000
Er6 0.072 0.572 0.720
Nd1 0.382 0.882 0.000
Nd2 0.618 0.118 0.000
Tb1 0.250 0.250 0.500
Er7 0.648 0.148 0.720
Dy1 0.750 0.250 0.500
Er8 0.428 0.352 0.280
Tb2 0.750 0.750 0.500
Dy2 0.250 0.750 0.500
Nd3 0.882 0.618 0.000
Er9 0.928 0.428 0.280
Er10 0.000 0.000 0.000
Nd4 0.118 0.382 0.000

symmetry: I4/mcm (140)
electronic total energy: -4.350 eV/atom
calculated formation energy: 235 kJ/mol of formula units